Entry 1:
DFT (GGA-PBE) results for an optimized crystal structure of LiMg2Ta.

The space group is Fm-3m (No. 225) and the conventional cell measures 6.7629, 6.7629 and 6.7629 Å, with angles of 90.00, 90.00 and 90.00 degrees. The asymmetric unit holds Li at (0.0000, 0.0000, 0.0000), Mg at (0.2500, 0.2500, 0.2500) and Ta at (0.0000, 0.0000, 0.5000).

The calculation puts the energy above the most stable polymorph in this dataset at 401 meV/atom. The formation energy is 0.54 eV/atom.

Entry 2:
DFT (GGA-PBE) results for an optimized crystal structure of FeBiPCl2.

The space group is P4/mmm (No. 123) and the conventional cell measures 4.5638, 4.5638 and 5.0576 Å, with angles of 90.00, 90.00 and 90.00 degrees. The asymmetric unit holds Fe at (0.0000, 0.0000, 0.0000), Bi at (0.5000, 0.5000, 0.5000), P at (0.0000, 0.0000, 0.5000) and Cl at (0.0000, 0.5000, 0.0000).

The calculation puts the formation energy without anion corrections at 0.066 eV per atom. The calculation puts the energy above the most stable polymorph in this dataset at 0 meV/atom.

Entry 3:
DFT (GGA-PBE) results for an optimized crystal structure of Sm5Mg3.

The space group is P4/mmm (No. 123) and the conventional cell measures 3.7905, 3.7905 and 16.6914 Å, with angles of 90.00, 90.00 and 90.00 degrees. The asymmetric unit holds Sm at (0.0000, 0.0000, 0.0000), Sm at (0.0000, 0.0000, 0.2347), Sm at (0.5000, 0.5000, 0.3801), Mg at (0.0000, 0.0000, 0.5000) and Mg at (0.5000, 0.5000, 0.1168).

The formation energy is -0.06 eV/atom.

Entry 4:
DFT (GGA-PBE) results for an optimized crystal structure of Mg3IrSe.

The space group is Pm-3m (No. 221) and the conventional cell measures 4.8155, 4.8155 and 4.8155 Å, with angles of 90.00, 90.00 and 90.00 degrees. The asymmetric unit holds Mg at (0.0000, 0.0000, 0.5000), Ir at (0.5000, 0.5000, 0.5000) and Se at (0.0000, 0.0000, 0.0000).

The calculation puts the formation energy without anion corrections at 0.331 eV per atom. The calculation puts the energy above the most stable polymorph in this dataset at 363 meV/atom.

Entry 5:
DFT (GGA-PBE) results for an optimized crystal structure of MgCoMo2.

The space group is C2/m (No. 12) and the conventional cell measures 5.1885, 9.0092 and 2.6488 Å, with angles of 90.00, 104.57 and 90.00 degrees. The asymmetric unit holds Mg at (0.0000, 0.0000, 0.0000), Co at (0.0000, 0.5000, 0.0000) and Mo at (0.2500, 0.2500, 0.5000).

The formation energy is 0.31 eV/atom.

Entry 6:
DFT (GGA-PBE) results for an optimized crystal structure of YZnNi2Os.

The space group is P4/mmm (No. 123) and the conventional cell measures 4.4700, 4.4700 and 4.9775 Å, with angles of 90.00, 90.00 and 90.00 degrees. The asymmetric unit holds Y at (0.0000, 0.0000, 0.0000), Zn at (0.0000, 0.0000, 0.5000), Ni at (0.0000, 0.5000, 0.0000) and Os at (0.5000, 0.5000, 0.5000).

The formation energy is 1.93 eV/atom.

Entry 7:
DFT (GGA-PBE) results for an optimized crystal structure of Cr2SiP.

The space group is Pm (No. 6) and the conventional cell measures 2.7289, 4.2575 and 4.5051 Å, with angles of 90.00, 107.13 and 90.00 degrees. The asymmetric unit holds Cr at (0.0000, 0.0000, 0.0000), Cr at (0.3665, 0.5000, 0.7353), Si at (0.7270, 0.0000, 0.4749) and P at (0.0855, 0.5000, 0.1846).

The calculation puts the formation energy without anion corrections at -0.074 eV per atom. The calculation puts the energy above the most stable polymorph in this dataset at 257 meV/atom.

Entry 8:
DFT (GGA-PBE) results for an optimized crystal structure of Pr7SmTm12.

The space group is Im-3m (No. 229) and the conventional cell measures 11.2486, 11.2486 and 11.2486 Å, with angles of 90.00, 90.00 and 90.00 degrees. The asymmetric unit holds Pr at (0.0000, 0.0000, 0.5000), Pr at (0.2500, 0.2500, 0.2500), Sm at (0.0000, 0.0000, 0.0000) and Tm at (0.0000, 0.2482, 0.2482).

The calculation puts the energy above the most stable polymorph in this dataset at 416 meV/atom. The formation energy is 0.64 eV/atom.

For each record above, in turn, the calculated magnetization values are 0.0 2.9 0.0 0.0 1.3 1.3 1.0 0.0 μB/f.u..
For each record above, in turn, the calculated calculated volume values are 19.3 21.1 30.0 22.3 15.0 19.9 12.5 35.6 A^3/atom.